[1]
# Dy2GeH, relaxed, DFT GGA-PBE
# - distance to the lowest polymorph of the same formula (meV per atom) = 98
# - crystal system = trigonal
# - energy (eV/atom) = -4.807
# - magnetization (μB per cell) = 1.2
data_Dy2GeH
_cell_length_a 4.1000
_cell_length_b 4.1000
_cell_length_c 17.2913
_cell_angle_alpha 90.00
_cell_angle_beta 90.00
_cell_angle_gamma 120.00
_space_group_name_H-M_alt 'R -3 m'
_space_group_IT_number 166
_space_group_name_Hall '-R 3 2"'
loop_
_atom_site_label
_atom_site_fract_x
_atom_site_fract_y
_atom_site_fract_z
_atom_site_occupancy
Dy1 0.0000 0.0000 0.2442 1
Ge1 0.0000 0.0000 0.0000 1
H1 0.0000 0.0000 0.5000 1

[2]
# Dy4Ge2H, relaxed, DFT GGA-PBE
# - distance to the lowest polymorph of the same formula (meV per atom) = 28
# - crystal system = tetragonal
# - energy (eV/atom) = -5.067
# - magnetization (μB per cell) = 0.0
data_Dy4Ge2H
_cell_length_a 4.411
_cell_length_b 4.411
_cell_length_c 15.934
_cell_angle_alpha 90.00
_cell_angle_beta 90.00
_cell_angle_gamma 90.00
_space_group_name_H-M_alt 'I 4/m m m'
_space_group_IT_number 139
_space_group_name_Hall '-I 4 2'
loop_
_atom_site_label
_atom_site_fract_x
_atom_site_fract_y
_atom_site_fract_z
_atom_site_occupancy
Dy1 0.000 0.000 0.181 1
Dy2 0.000 0.500 0.000 1
Ge1 0.000 0.000 0.365 1
H1 0.000 0.000 0.000 1

[3]
# Dy4Ge2H, relaxed, DFT GGA-PBE
# - distance to the lowest polymorph of the same formula (meV per atom) = 0
# - crystal system = monoclinic
# - energy (eV/atom) = -5.094
# - magnetization (μB per cell) = 0.0
data_Dy4Ge2H
_cell_length_a 6.195
_cell_length_b 6.429
_cell_length_c 8.475
_cell_angle_alpha 90.00
_cell_angle_beta 109.65
_cell_angle_gamma 90.00
_space_group_name_H-M_alt 'P 1 21/m 1'
_space_group_IT_number 11
_space_group_name_Hall '-P 2yb'
loop_
_atom_site_label
_atom_site_fract_x
_atom_site_fract_y
_atom_site_fract_z
_atom_site_occupancy
Dy1 0.014 0.000 0.265 1
Dy2 0.404 0.250 0.090 1
Dy3 0.428 0.250 0.620 1
Ge1 0.209 0.750 0.046 1
Ge2 0.257 0.750 0.571 1
H1 0.248 0.250 0.810 1

[4]
# DyGeHIr, relaxed, DFT GGA-PBE
# - crystal system = tetragonal
# - energy (eV/atom) = -6.132
# - magnetization (μB per cell) = 0.0
data_DyGeHIr
_cell_length_a 4.101
_cell_length_b 4.101
_cell_length_c 7.225
_cell_angle_alpha 90.00
_cell_angle_beta 90.00
_cell_angle_gamma 90.00
_space_group_name_H-M_alt 'P 4/n m m'
_space_group_IT_number 129
loop_
_space_group_symop_operation_xyz
'x,y,z'
'-x,-y,-z'
'-y+1/2,x,z'
'y+1/2,-x,-z'
'-x+1/2,-y+1/2,z'
'x+1/2,y+1/2,-z'
'y,-x+1/2,z'
'-y,x+1/2,-z'
'x+1/2,-y,-z'
'-x+1/2,y,z'
'-y,-x,-z'
'y,x,z'
'-x,y+1/2,-z'
'x,-y+1/2,z'
'y+1/2,x+1/2,-z'
'-y+1/2,-x+1/2,z'
loop_
_atom_site_label
_atom_site_fract_x
_atom_site_fract_y
_atom_site_fract_z
_atom_site_occupancy
Dy1 0.250 0.250 0.159 1
Ge1 0.250 0.250 0.697 1
H1 0.250 0.750 0.000 1
Ir1 0.250 0.750 0.500 1